Entry 1:
Compound: SrTl2IrC
Source: Alexandria
Functional: meta-GGA SCAN
Structure: PBEsol geometry

CIF file:
```
data_SrTl2IrC
_space_group_name_H-M_alt 'P 4/m m m'
_space_group_IT_number 123
_space_group_name_Hall '-P 4 2'
_cell_length_a 5.5163
_cell_length_b 5.5163
_cell_length_c 3.8606
_cell_angle_alpha 90.00
_cell_angle_beta 90.00
_cell_angle_gamma 90.00
loop_
_atom_site_label
_atom_site_fract_x
_atom_site_fract_y
_atom_site_fract_z
Sr1 0.0000 0.0000 0.0000
Tl1 0.0000 0.5000 0.5000
Ir1 0.5000 0.5000 0.5000
C1 0.5000 0.5000 0.0000
```

Its raw total energy is -49.249 eV/atom. The value obtained for the formation enthalpy at 0 K is 0.39 eV per atom. The calculation puts the calculated density at 9.9 g/cm³.


Entry 2:
Compound: Dy2S3
Source: Alexandria
Functional: meta-GGA SCAN
Structure: PBEsol geometry

CIF file:
```
data_Dy2S3
_space_group_name_H-M_alt 'I -4 2 d'
_space_group_IT_number 122
_space_group_name_Hall 'I -4 2bw'
_cell_length_a 8.1731
_cell_length_b 8.1731
_cell_length_c 24.4894
_cell_angle_alpha 90.00
_cell_angle_beta 90.00
_cell_angle_gamma 90.00
loop_
_atom_site_label
_atom_site_fract_x
_atom_site_fract_y
_atom_site_fract_z
Dy1 0.0000 0.0000 0.1660
Dy2 0.1187 0.2500 0.6250
Dy3 0.1362 0.2419 0.2894
S1 0.0707 0.1762 0.0666
S2 0.0729 0.1809 0.3955
S3 0.0795 0.1731 0.7337
```

Its raw total energy is -27.212 eV/atom. The calculation puts the formation energy from raw total energies at -11.58 eV per formula unit. The calculation puts the calculated density at 6.8 g/cm³.


Entry 3:
Compound: KBaSc2
Source: Alexandria
Functional: meta-GGA SCAN
Structure: PBEsol geometry

CIF file:
```
data_KBaSc2
_space_group_name_H-M_alt 'F -4 3 m'
_space_group_IT_number 216
_space_group_name_Hall 'F -4 2 3'
_cell_length_a 8.2801
_cell_length_b 8.2801
_cell_length_c 8.2801
_cell_angle_alpha 90.00
_cell_angle_beta 90.00
_cell_angle_gamma 90.00
loop_
_atom_site_label
_atom_site_fract_x
_atom_site_fract_y
_atom_site_fract_z
K1 0.0000 0.0000 0.0000
Ba1 0.2500 0.2500 0.7500
Sc1 0.0000 0.0000 0.5000
Sc2 0.2500 0.2500 0.2500
```

Its polymorph energy (0 for the lowest one) is 20 meV per atom. Its raw total energy is -18.432 eV/atom. The value obtained for the formation enthalpy at 0 K is 0.66 eV per atom. The calculation puts the calculated density at 3.1 g/cm³.


Entry 4:
Compound: Ta9Fe2S6
Source: Alexandria
Functional: meta-GGA SCAN
Structure: PBEsol geometry

CIF file:
```
data_Ta9Fe2S6
_space_group_name_H-M_alt 'P -6 2 m'
_space_group_IT_number 189
_space_group_name_Hall 'P -6 -2'
_cell_length_a 10.2913
_cell_length_b 10.2913
_cell_length_c 6.5242
_cell_angle_alpha 90.00
_cell_angle_beta 90.00
_cell_angle_gamma 120.00
loop_
_atom_site_label
_atom_site_fract_x
_atom_site_fract_y
_atom_site_fract_z
Ta1 0.0000 0.5413 0.2462
Ta2 0.1908 0.4554 0.5000
Ta3 0.2152 0.4723 0.0000
Fe1 0.3333 0.6667 0.2823
S1 0.0000 0.2977 0.2341
S2 0.0000 0.7233 0.5000
S3 0.0000 0.7253 0.0000
```

Its raw total energy is -41.555 eV/atom. The calculation puts the formation energy from raw total energies at -13.16 eV per formula unit. The calculation puts the calculated density at 10.7 g/cm³.


Entry 5:
Compound: K2YRh
Source: Alexandria
Functional: meta-GGA SCAN
Structure: PBEsol geometry

CIF file:
```
data_K2YRh
_space_group_name_H-M_alt 'P 4 m m'
_space_group_IT_number 99
_space_group_name_Hall 'P 4 -2'
_cell_length_a 3.5856
_cell_length_b 3.5856
_cell_length_c 11.1090
_cell_angle_alpha 90.00
_cell_angle_beta 90.00
_cell_angle_gamma 90.00
loop_
_atom_site_label
_atom_site_fract_x
_atom_site_fract_y
_atom_site_fract_z
K1 0.0000 0.0000 0.0000
K2 0.5000 0.5000 0.3705
Y1 0.5000 0.5000 0.6888
Rh1 0.0000 0.0000 0.5895
```

Its polymorph energy (0 for the lowest one) is 0 meV per atom. Its raw total energy is -19.634 eV/atom. The value obtained for the formation enthalpy at 0 K is -0.07 eV per atom. The calculation puts the calculated density at 3.1 g/cm³.


Entry 6:
Compound: Ba2NF
Source: Alexandria
Functional: meta-GGA SCAN
Structure: PBEsol geometry

CIF file:
```
data_Ba2NF
_space_group_name_H-M_alt 'I 41/a m d'
_space_group_IT_number 141
_cell_length_a 5.6429
_cell_length_b 5.6429
_cell_length_c 11.5030
_cell_angle_alpha 90.00
_cell_angle_beta 90.00
_cell_angle_gamma 90.00
loop_
_space_group_symop_operation_xyz
'x,y,z'
'-x,-y,-z'
'-y+1/4,x+3/4,z+1/4'
'y+1/4,-x+3/4,-z+1/4'
'-x+1/2,-y,z+1/2'
'x+1/2,y,-z+1/2'
'y+1/4,-x+1/4,z+3/4'
'-y+1/4,x+1/4,-z+3/4'
'x,-y,-z'
'-x,y,z'
'-y+1/4,-x+1/4,-z+3/4'
'y+1/4,x+1/4,z+3/4'
'-x+1/2,y,-z+1/2'
'x+1/2,-y,z+1/2'
'y+1/4,x+3/4,-z+1/4'
'-y+1/4,-x+3/4,z+1/4'
'x+1/2,y+1/2,z+1/2'
'-x+1/2,-y+1/2,-z+1/2'
'-y+3/4,x+1/4,z+3/4'
'y+3/4,-x+1/4,-z+3/4'
'-x,-y+1/2,z'
'x,y+1/2,-z'
'y+3/4,-x+3/4,z+1/4'
'-y+3/4,x+3/4,-z+1/4'
'x+1/2,-y+1/2,-z+1/2'
'-x+1/2,y+1/2,z+1/2'
'-y+3/4,-x+3/4,-z+1/4'
'y+3/4,x+3/4,z+1/4'
'-x,y+1/2,-z'
'x,-y+1/2,z'
'y+3/4,x+1/4,-z+3/4'
'-y+3/4,-x+1/4,z+3/4'
loop_
_atom_site_label
_atom_site_fract_x
_atom_site_fract_y
_atom_site_fract_z
Ba1 0.0000 0.2500 0.1063
N1 0.0000 0.2500 0.8750
F1 0.0000 0.2500 0.3750
```

Its polymorph energy (0 for the lowest one) is 48 meV per atom. Its raw total energy is -24.852 eV/atom. The calculation puts the formation energy from raw total energies at -7.48 eV per formula unit. The calculation puts the calculated density at 5.6 g/cm³.


Entry 7:
Compound: Zn2OsPb
Source: Alexandria
Functional: meta-GGA SCAN
Structure: PBEsol geometry

CIF file:
```
data_Zn2OsPb
_space_group_name_H-M_alt 'A m m 2'
_space_group_IT_number 38
_space_group_name_Hall 'A 2 -2'
_cell_length_a 4.1232
_cell_length_b 3.2620
_cell_length_c 10.2713
_cell_angle_alpha 90.00
_cell_angle_beta 90.00
_cell_angle_gamma 90.00
loop_
_atom_site_label
_atom_site_fract_x
_atom_site_fract_y
_atom_site_fract_z
Zn1 0.0000 0.0000 0.0000
Zn2 0.5000 0.0000 0.4318
Os1 0.0000 0.0000 0.2915
Pb1 0.5000 0.0000 0.6908
```

Its raw total energy is -43.222 eV/atom. The value obtained for the formation enthalpy at 0 K is 0.45 eV per atom. The calculation puts the calculated density at 12.7 g/cm³.


Entry 8:
Compound: TmInCo4
Source: Alexandria
Functional: meta-GGA SCAN
Structure: PBEsol geometry

CIF file:
```
data_TmInCo4
_space_group_name_H-M_alt 'F -4 3 m'
_space_group_IT_number 216
_space_group_name_Hall 'F -4 2 3'
_cell_length_a 6.8940
_cell_length_b 6.8940
_cell_length_c 6.8940
_cell_angle_alpha 90.00
_cell_angle_beta 90.00
_cell_angle_gamma 90.00
loop_
_atom_site_label
_atom_site_fract_x
_atom_site_fract_y
_atom_site_fract_z
Tm1 0.0000 0.0000 0.0000
In1 0.2500 0.2500 0.2500
Co1 0.1245 0.1245 0.6245
```

Its raw total energy is -25.866 eV/atom. The value obtained for the formation enthalpy at 0 K is -0.13 eV per atom. The calculation puts the calculated density at 10.5 g/cm³.


Entry 9:
Compound: CoPbSe2
Source: Alexandria
Functional: meta-GGA SCAN
Structure: PBEsol geometry

CIF file:
```
data_CoPbSe2
_space_group_name_H-M_alt 'P 4/m m m'
_space_group_IT_number 123
_space_group_name_Hall '-P 4 2'
_cell_length_a 3.1298
_cell_length_b 3.1298
_cell_length_c 7.7524
_cell_angle_alpha 90.00
_cell_angle_beta 90.00
_cell_angle_gamma 90.00
loop_
_atom_site_label
_atom_site_fract_x
_atom_site_fract_y
_atom_site_fract_z
Co1 0.0000 0.0000 0.0000
Pb1 0.0000 0.0000 0.5000
Se1 0.5000 0.5000 0.1758
```

Its raw total energy is -33.125 eV/atom. The calculation puts the formation energy from raw total energies at 0.74 eV per formula unit. The calculation puts the calculated density at 9.3 g/cm³.


Entry 10:
Compound: SrPtBr2
Source: Alexandria
Functional: meta-GGA SCAN
Structure: PBEsol geometry

CIF file:
```
data_SrPtBr2
_space_group_name_H-M_alt 'I m m m'
_space_group_IT_number 71
_space_group_name_Hall '-I 2 2'
_cell_length_a 4.2653
_cell_length_b 5.5602
_cell_length_c 8.0429
_cell_angle_alpha 90.00
_cell_angle_beta 90.00
_cell_angle_gamma 90.00
loop_
_atom_site_label
_atom_site_fract_x
_atom_site_fract_y
_atom_site_fract_z
Sr1 0.0000 0.0000 0.0000
Pt1 0.0000 0.0000 0.5000
Br1 0.0000 0.5000 0.2058
```

Its polymorph energy (0 for the lowest one) is 0 meV per atom. Its raw total energy is -33.723 eV/atom. The calculation puts the formation energy from raw total energies at -3.50 eV per formula unit. The calculation puts the calculated density at 7.7 g/cm³.


Entry 11:
Compound: BaCa2Tl2
Source: Alexandria
Functional: meta-GGA SCAN
Structure: PBEsol geometry

CIF file:
```
data_BaCa2Tl2
_space_group_name_H-M_alt 'I 4/m m m'
_space_group_IT_number 139
_space_group_name_Hall '-I 4 2'
_cell_length_a 5.1072
_cell_length_b 5.1072
_cell_length_c 13.7336
_cell_angle_alpha 90.00
_cell_angle_beta 90.00
_cell_angle_gamma 90.00
loop_
_atom_site_label
_atom_site_fract_x
_atom_site_fract_y
_atom_site_fract_z
Ba1 0.0000 0.0000 0.0000
Ca1 0.0000 0.5000 0.2500
Tl1 0.0000 0.0000 0.3952
```

Its polymorph energy (0 for the lowest one) is 0 meV per atom. Its raw total energy is -41.188 eV/atom. The value obtained for the formation enthalpy at 0 K is -0.47 eV per atom. The calculation puts the calculated density at 5.8 g/cm³.


Entry 12:
Compound: Rb2ZrSeF
Source: Alexandria
Functional: meta-GGA SCAN
Structure: PBEsol geometry

CIF file:
```
data_Rb2ZrSeF
_space_group_name_H-M_alt 'P 4/m m m'
_space_group_IT_number 123
_space_group_name_Hall '-P 4 2'
_cell_length_a 4.7212
_cell_length_b 4.7212
_cell_length_c 6.8747
_cell_angle_alpha 90.00
_cell_angle_beta 90.00
_cell_angle_gamma 90.00
loop_
_atom_site_label
_atom_site_fract_x
_atom_site_fract_y
_atom_site_fract_z
Rb1 0.0000 0.5000 0.0000
Zr1 0.0000 0.0000 0.5000
Se1 0.5000 0.5000 0.5000
F1 0.5000 0.5000 0.0000
```

Its raw total energy is -19.854 eV/atom. The calculation puts the formation energy from raw total energies at -3.47 eV per formula unit. The calculation puts the calculated density at 3.9 g/cm³.